# 1
Entry from Alexandria via LeMat-Bulk: crystalline AcGdTl2 at its relaxed geometry (PBE).

Output
energy of formation from the pure elements	-22.3	kJ/mol of atoms
DOS(E_F)	4.110	states/eV/f.u.

```
AcGdTl2
1.0
3.938 0.000 0.000
1.969 3.410 0.000
1.969 1.137 10.088
Tl Gd Ac
2 1 1
Cartesian
5.907 3.410 7.733 Tl
1.969 1.137 2.355 Tl
0.000 0.000 0.000 Gd
3.938 2.274 5.044 Ac
```


# 2
Entry from Alexandria via LeMat-Bulk: crystalline Ac2GdTl at its relaxed geometry (PBE).

Output
ΔE to the lowest computed polymorph	83	meV per atom
energy of formation from the pure elements	-4.7	kJ/mol of atoms
DOS(E_F)	6.129	states/eV/f.u.

```
Ac2GdTl
1.0
-1.151 2.638 5.147
-5.370 -0.431 2.397
-0.809 -3.242 4.859
Gd Ac Tl
1 2 1
Cartesian
0.000 0.000 0.000 Gd
-5.498 -0.776 9.302 Ac
-1.833 -0.259 3.101 Ac
-3.665 -0.518 6.201 Tl
```


# 3
Entry from Alexandria via LeMat-Bulk: crystalline AcGdTl2 at its relaxed geometry (PBE).

Output
energy of formation from the pure elements	-31.2	kJ/mol of atoms
DOS(E_F)	4.656	states/eV/f.u.

```
AcGdTl2
1.0
4.502 0.000 0.000
0.000 5.315 0.000
0.000 0.000 5.315
Tl Ac Gd
2 1 1
Cartesian
0.000 0.000 2.657 Tl
0.000 2.657 0.000 Tl
2.251 0.000 0.000 Ac
2.251 2.657 2.657 Gd
```


# 4
Entry from Alexandria via LeMat-Bulk: crystalline AcGd2Tl at its relaxed geometry (PBE).

Output
ΔE to the lowest computed polymorph	0	meV per atom
energy of formation from the pure elements	-17.6	kJ/mol of atoms
DOS(E_F)	3.554	states/eV/f.u.

```
AcGd2Tl
1.0
3.750 0.000 0.000
0.000 3.750 0.000
0.000 0.000 9.343
Gd Ac Tl
2 1 1
Cartesian
0.000 0.000 7.325 Gd
0.000 0.000 2.018 Gd
1.875 1.875 4.671 Ac
1.875 1.875 0.000 Tl
```


# 5
Entry from Alexandria via LeMat-Bulk: crystalline AcGd2Tl at its relaxed geometry (PBE).

Output
ΔE to the lowest computed polymorph	20	meV per atom
energy of formation from the pure elements	-15.6	kJ/mol of atoms
DOS(E_F)	4.778	states/eV/f.u.

```
AcGd2Tl
1.0
-0.332 4.949 -0.807
-4.982 -0.187 0.904
0.860 0.860 4.918
Ac Gd Tl
1 2 1
Cartesian
-0.166 2.475 -0.404 Ac
-2.491 -0.093 0.452 Gd
0.430 0.430 2.459 Gd
-2.227 2.811 2.508 Tl
```


# 6
Entry from Alexandria via LeMat-Bulk: crystalline AcGdYTm at its relaxed geometry (PBE).

Output
energy of formation from the pure elements	9.9	kJ/mol of atoms
DOS(E_F)	6.536	states/eV/f.u.

```
AcGdYTm
1.0
5.828 0.000 0.000
2.914 5.047 0.000
2.914 1.682 4.759
Ac Gd Tm Y
1 1 1 1
Cartesian
0.000 0.000 0.000 Ac
5.828 3.365 2.379 Gd
2.914 1.682 1.190 Tm
8.742 5.047 3.569 Y
```


Q: Look up the DOS(E_F) of the first one.
A: 4.110 states/eV/f.u.